Computed, not measured: crystalline LiNi2N at its relaxed geometry at the PBE level of DFT.

abc: 6.2633 6.2633 6.2633
angles: 135.30 135.30 65.06
With the nearest neighbours (Å) after each atom.
Positions (direct):
Li: 0.3750 0.6250 0.7500  8 Ni 2.97
Li: 0.6250 0.3750 0.2500  8 Ni 2.97
Ni: 0.0000 0.0000 0.0000  2 N 1.78
Ni: 0.0000 0.0000 0.5000  2 N 1.78
Ni: 0.0000 0.5000 0.0000  2 N 1.78
Ni: 0.5000 0.0000 0.5000  2 N 1.78
N: 0.1250 0.8750 0.2500  4 Ni 1.78
N: 0.8750 0.1250 0.7500  4 Ni 1.78

Output
* uncorrected energy: -5.40 eV/atom
* space group: No. 141



Computed, not measured: crystalline NaLiLa2Ir at its relaxed geometry at the PBE level of DFT.

abc: 5.5474 5.5474 5.3167
angles: 90.00 90.00 90.00
With the nearest neighbours (Å) after each atom.
Positions (direct):
Na: 0.0000 0.0000 0.0000  8 La 3.84, 4 Li 3.92
Li: 0.5000 0.5000 0.0000  2 Ir 2.66
La: 0.0000 0.5000 0.5000  2 Ir 2.77
La: 0.5000 0.0000 0.5000  2 Ir 2.77
Ir: 0.5000 0.5000 0.5000  2 Li 2.66, 4 La 2.77

Output
* polymorph energy (0 for the lowest one): 0.0000 eV/atom
* energy relative to the elements: -1.01 eV per formula unit
* space group: No. 123



Computed, not measured: crystalline SrSb2TeIr at its relaxed geometry at the PBE level of DFT.

abc: 5.1163 5.1163 5.9628
angles: 90.00 90.00 90.00
With the nearest neighbours (Å) after each atom.
Positions (direct):
Sr: 0.0000 0.0000 0.0000  4 Te 3.62, 8 Sb 3.93
Sb: 0.0000 0.5000 0.5000  2 Ir 2.56
Sb: 0.5000 0.0000 0.5000  2 Ir 2.56
Te: 0.5000 0.5000 0.0000  2 Ir 2.98
Ir: 0.5000 0.5000 0.5000  4 Sb 2.56

Output
* polymorph energy (0 for the lowest one): 0.0000 eV/atom
* space group: No. 123



Computed, not measured: crystalline InRuCl2 at its relaxed geometry at the PBE level of DFT.

abc: 3.4789 3.4789 9.3438
angles: 90.00 90.00 125.79
With the nearest neighbours (Å) after each atom.
Positions (direct):
In: 0.0000 0.0000 0.0000  6 In 3.17-3.48, 4 Cl 3.30
Ru: 0.0000 0.0000 0.5000  4 Cl 2.38
Cl: 0.5000 0.5000 0.3099  2 Ru 2.38
Cl: 0.5000 0.5000 0.6901  2 Ru 2.38

Output
* polymorph energy (0 for the lowest one): 0.2784 eV/atom
* space group: No. 65



Computed, not measured: crystalline Sr2Al12Ag7 at its relaxed geometry at the PBE level of DFT.

abc: 10.5264 10.5264 4.2649
angles: 90.00 90.00 120.00
With the nearest neighbours (Å) after each atom.
Positions (direct):
Sr: 0.0000 0.0000 0.0000  6 Ag 3.31, 12 Al 3.43-3.56
Sr: 0.3333 0.6667 0.5000  9 Al 3.43-3.69, 6 Ag 3.44
Al: 0.0288 0.7449 0.5000  4 Ag 2.66-2.75, 5 Al 2.93-2.98
Al: 0.1257 0.3823 0.0000  4 Ag 2.65-2.69, 1 Al 2.86
Al: 0.2551 0.2839 0.5000  4 Ag 2.66-2.75, 5 Al 2.93-2.98
Al: 0.2566 0.8743 0.0000  4 Ag 2.65-2.69, 1 Al 2.86
Al: 0.3761 0.1857 0.0000  4 Ag 2.65-2.70, 3 Al 2.86-2.93
Al: 0.5464 0.1284 0.5000  5 Ag 2.73-2.84, 3 Al 2.98-3.03
Al: 0.5820 0.4536 0.5000  5 Ag 2.73-2.84, 3 Al 2.98-3.03
Al: 0.6177 0.7434 0.0000  4 Ag 2.65-2.69, 1 Al 2.86
Al: 0.7161 0.9712 0.5000  4 Ag 2.66-2.75, 5 Al 2.93-2.98
Al: 0.8096 0.6239 0.0000  4 Ag 2.65-2.70, 3 Al 2.86-2.93
Al: 0.8143 0.1904 0.0000  4 Ag 2.65-2.70, 3 Al 2.86-2.93
Al: 0.8716 0.4180 0.5000  5 Ag 2.73-2.84, 3 Al 2.98-3.03
Ag: 0.0474 0.5900 0.0000  7 Al 2.69-2.81
Ag: 0.2502 0.0207 0.5000  7 Al 2.65-2.75
Ag: 0.4100 0.4574 0.0000  7 Al 2.69-2.81
Ag: 0.5426 0.9526 0.0000  7 Al 2.69-2.81
Ag: 0.6667 0.3333 0.0000  9 Al 2.65-2.84
Ag: 0.7704 0.7498 0.5000  7 Al 2.65-2.75
Ag: 0.9793 0.2296 0.5000  7 Al 2.65-2.75

Output
* energy relative to the elements: -2.80 eV per formula unit
* space group: No. 174



Computed, not measured: crystalline CsIn3Br at its relaxed geometry at the PBE level of DFT.

abc: 6.1541 6.1541 6.1541
angles: 90.00 90.00 90.00
With the nearest neighbours (Å) after each atom.
Positions (direct):
Cs: 0.0000 0.0000 0.0000  12 In 4.35
In: 0.0000 0.5000 0.5000  2 Br 3.08
In: 0.5000 0.0000 0.5000  2 Br 3.08
In: 0.5000 0.5000 0.0000  2 Br 3.08
Br: 0.5000 0.5000 0.5000  6 In 3.08

Output
* polymorph energy (0 for the lowest one): 0.0000 eV/atom
* space group: No. 221